(1)
TiSiRu2Se after structural relaxation. Source: Alexandria via LeMat-Bulk, functional PBE-GGA.

a b c (Å): 4.4547 4.4547 4.8296
angles (deg): 90.00 90.00 90.00
Closest atoms and distances in Å follow each position.
Fractional coordinates of all 5 atoms:
Ti: 0.0000 0.0000 0.0000  4 Si 3.15, 8 Ru 3.29
Si: 0.5000 0.5000 0.0000  2 Se 2.41
Ru: 0.0000 0.5000 0.5000  2 Se 2.23
Ru: 0.5000 0.0000 0.5000  2 Se 2.23
Se: 0.5000 0.5000 0.5000  4 Ru 2.23, 2 Si 2.41

Properties
Formation energy without anion corrections, eV/atom: 0.995
Energy, eV/atom: -6.076
Space group: P4/mmm



(2)
Ba8PbAu2 after structural relaxation. Source: Alexandria via LeMat-Bulk, functional PBE-GGA.

a b c (Å): 9.3612 9.3612 6.3368
angles (deg): 97.71 97.71 110.14
Closest atoms and distances in Å follow each position.
Fractional coordinates of all 11 atoms:
Ba: 0.0000 0.0000 0.0000  2 Au 3.48, 1 Pb 3.86
Ba: 0.0467 0.3104 0.6114  2 Au 3.48-3.58
Ba: 0.1250 0.6138 0.2018  2 Au 3.36, 1 Pb 3.75
Ba: 0.3104 0.0467 0.6114  2 Au 3.48-3.58
Ba: 0.4280 0.6917 0.7927  2 Au 3.48-3.58
Ba: 0.6138 0.1250 0.2018  2 Au 3.36, 1 Pb 3.75
Ba: 0.6917 0.4280 0.7927  2 Au 3.48-3.58
Ba: 0.7387 0.7387 0.4034  2 Au 3.48, 1 Pb 3.87
Pb: 0.3690 0.3690 0.1976  8 Ba 3.75-4.20
Au: 0.0516 0.6868 0.7018  8 Ba 3.36-3.58
Au: 0.6868 0.0516 0.7018  8 Ba 3.36-3.58

Properties
Formation energy, eV per atom: -0.339
Energy, eV/atom: -2.671
Space group: Cm



(3)
DyErTmTh after structural relaxation. Source: Alexandria via LeMat-Bulk, functional PBE-GGA.

a b c (Å): 7.9587 7.9587 7.9587
angles (deg): 90.00 90.00 90.00
Closest atoms and distances in Å follow each position.
Fractional coordinates of all 16 atoms:
Dy: 0.0000 0.0000 0.0000  4 Er 3.45, 4 Tm 3.45
Dy: 0.0000 0.5000 0.5000  4 Er 3.45, 4 Tm 3.45
Dy: 0.5000 0.0000 0.5000  4 Er 3.45, 4 Tm 3.45
Dy: 0.5000 0.5000 0.0000  4 Er 3.45, 4 Tm 3.45
Er: 0.2500 0.2500 0.2500  4 Th 3.45, 4 Dy 3.45
Er: 0.2500 0.7500 0.7500  4 Th 3.45, 4 Dy 3.45
Er: 0.7500 0.2500 0.7500  4 Th 3.45, 4 Dy 3.45
Er: 0.7500 0.7500 0.2500  4 Th 3.45, 4 Dy 3.45
Tm: 0.2500 0.2500 0.7500  4 Th 3.45, 4 Dy 3.45
Tm: 0.2500 0.7500 0.2500  4 Th 3.45, 4 Dy 3.45
Tm: 0.7500 0.2500 0.2500  4 Th 3.45, 4 Dy 3.45
Tm: 0.7500 0.7500 0.7500  4 Th 3.45, 4 Dy 3.45
Th: 0.0000 0.0000 0.5000  4 Er 3.45, 4 Tm 3.45
Th: 0.0000 0.5000 0.0000  4 Er 3.45, 4 Tm 3.45
Th: 0.5000 0.0000 0.0000  4 Er 3.45, 4 Tm 3.45
Th: 0.5000 0.5000 0.5000  4 Er 3.45, 4 Tm 3.45

Properties
Formation energy, eV per atom: 0.131
Energy, eV/atom: -5.133
Offset from the most stable computed form, meV per atom: 128
Space group: F-43m



(4)
LiSe after structural relaxation. Source: Alexandria via LeMat-Bulk, functional PBE-GGA.

a b c (Å): 7.7316 4.0746 2.7231
angles (deg): 90.00 110.50 90.00
Closest atoms and distances in Å follow each position.
Fractional coordinates of all 4 atoms:
Li: 0.0000 0.0000 0.0000  5 Se 2.56-2.67, 2 Li 2.72
Li: 0.5000 0.5000 0.0000  5 Se 2.56-2.67, 2 Li 2.72
Se: 0.1461 0.5000 0.6445  5 Li 2.56-2.67, 2 Se 2.72
Se: 0.6461 0.0000 0.6445  5 Li 2.56-2.67, 2 Se 2.72

Properties
Formation energy without anion corrections, eV/atom: -0.810
Energy, eV/atom: -3.509
Offset from the most stable computed form, meV per atom: 100
Space group: Cm



(5)
Ba3LiPt2O6 after structural relaxation. Source: Alexandria via LeMat-Bulk, functional PBE-GGA.

a b c (Å): 6.0071 6.0071 6.8322
angles (deg): 90.00 90.00 120.00
Closest atoms and distances in Å follow each position.
Fractional coordinates of all 12 atoms:
Ba: 0.0000 0.0000 0.0000  6 O 2.69
Ba: 0.3333 0.6667 0.6488  9 O 2.94-3.02, 1 Pt 3.26
Ba: 0.6667 0.3333 0.3512  9 O 2.94-3.02, 1 Pt 3.26
Li: 0.0000 0.0000 0.5000  6 O 2.17
Pt: 0.3333 0.6667 0.1712  3 O 1.98
Pt: 0.6667 0.3333 0.8288  3 O 1.98
O: 0.1640 0.3279 0.3045  1 Pt 1.98, 1 Li 2.17
O: 0.1640 0.8360 0.3045  1 Pt 1.98, 1 Li 2.17
O: 0.3279 0.1640 0.6955  1 Pt 1.98, 1 Li 2.17
O: 0.6721 0.8360 0.3045  1 Pt 1.98, 1 Li 2.17
O: 0.8360 0.1640 0.6955  1 Pt 1.98, 1 Li 2.17
O: 0.8360 0.6721 0.6955  1 Pt 1.98, 1 Li 2.17

Properties
Formation energy without anion corrections, eV/atom: -1.361
Energy, eV/atom: -5.488
Space group: P-3m1



(6)
Li2TcNi after structural relaxation. Source: Alexandria via LeMat-Bulk, functional PBE-GGA.

a b c (Å): 4.5071 4.5071 2.4487
angles (deg): 90.00 90.00 90.00
Closest atoms and distances in Å follow each position.
Fractional coordinates of all 4 atoms:
Li: 0.0000 0.5000 0.0000  2 Li 2.45, 4 Tc 2.56, 4 Ni 2.56
Li: 0.5000 0.0000 0.0000  2 Li 2.45, 4 Tc 2.56, 4 Ni 2.56
Tc: 0.0000 0.0000 0.5000  2 Tc 2.45, 8 Li 2.56
Ni: 0.5000 0.5000 0.5000  2 Ni 2.45, 8 Li 2.56

Properties
Formation energy, eV per atom: 0.453
Energy, eV/atom: -4.541
Offset from the most stable computed form, meV per atom: 367
Space group: P4/mmm